No. 1
SrTaCu | PBE | relaxed

```
3
Lattice="6.706 0.004 -0.005 5.906 3.177 -0.006 0.800 0.203 3.166" Properties=species:S:1:pos:R:3 pbc="T T T"
Cu 1.161 0.294 3.069
Sr 4.826 1.218 2.083
Ta 8.226 2.075 1.169
```

Computed properties:
M_tot = 0.0002 μB per atom
uncorrected energy = -5.3283 eV per atom



No. 2
SrTa2Cu | PBE | relaxed

```
4
Lattice="-0.243 -5.308 0.358 1.465 0.184 3.724 -3.724 0.268 1.452" Properties=species:S:1:pos:R:3 pbc="T T T"
Cu 0.611 -2.562 2.041
Sr -1.983 -2.520 0.905
Ta 0.000 0.000 0.000
Ta -1.129 0.226 2.588
```

Computed properties:
M_tot = 0.0001 μB per atom
uncorrected energy = -6.4401 eV per atom



No. 3
Sr2TaCu | PBE | relaxed

```
4
Lattice="-3.554 -3.043 2.921 -4.262 2.413 2.537 -5.130 -0.796 -1.864" Properties=species:S:1:pos:R:3 pbc="T T T"
Sr -3.236 -0.357 0.898
Sr -9.709 -1.070 2.695
Cu 0.000 0.000 0.000
Ta -6.473 -0.713 1.797
```

Computed properties:
M_tot = 0.9797 μB per atom
uncorrected energy = -3.8355 eV per atom



No. 4
SrTa2Cu | PBE | relaxed

```
4
Lattice="3.182 0.000 0.000 0.000 4.711 0.000 0.000 0.000 5.590" Properties=species:S:1:pos:R:3 pbc="T T T"
Cu 1.591 0.000 2.795
Sr 0.000 2.356 2.795
Ta 0.000 0.000 0.000
Ta 1.591 2.356 0.000
```

Computed properties:
M_tot = 0.0000 μB per atom
uncorrected energy = -6.5868 eV per atom



No. 5
SrTaCu | PBE | relaxed

```
6
Lattice="10.160 -0.193 -0.117 0.919 4.029 -0.007 -0.691 0.163 3.795" Properties=species:S:1:pos:R:3 pbc="T T T"
Sr 4.913 2.142 0.573
Sr 8.286 3.497 3.085
Cu 2.778 0.514 2.219
Cu 9.401 1.120 1.427
Ta 1.653 2.887 1.913
Ta 0.556 1.020 3.759
```

Computed properties:
M_tot = 0.0000 μB per atom
uncorrected energy = -5.5652 eV per atom



No. 6
SrTaCu | PBE | relaxed

```
6
Lattice="-3.758 -2.284 0.211 5.439 -4.345 3.973 0.674 -0.603 5.465" Properties=species:S:1:pos:R:3 pbc="T T T"
Sr 1.526 -4.848 5.563
Sr 2.745 -2.855 2.895
Cu -1.720 -3.669 6.342
Cu -0.210 -2.036 4.999
Ta -2.575 -2.483 3.977
Ta -0.547 -1.737 2.237
```

Computed properties:
M_tot = 0.0000 μB per atom
uncorrected energy = -5.4284 eV per atom



Listing calculated formation energy for the structures above in their given order: 1.65, 3.72, 3.97, 3.14, 0.94, 1.35 eV/f.u..
Listing calculated volume for the structures above in their given order: 67.39, 85.47, 118.64, 83.81, 155.73, 141.92 Å³/cell.